Compound: LuTl2Cd
Source: Alexandria via LeMat-Bulk
Functional: PBE
Structure: relaxed

As for the formation energy: -1.34 kcal/mol of atoms. As for the raw total energy: -41.608 eV/cell. The value obtained for the energy above the most stable polymorph in this dataset is 0.000 eV/atom. The calculated density is 11.2 Mg/m³.

a b c (Å): 7.456 7.456 7.456
angles (deg): 90.00 90.00 90.00
Atoms (fractional coordinates):
Lu (0.000, 0.000, 0.000)
Lu (0.000, 0.500, 0.500)
Lu (0.500, 0.000, 0.500)
Lu (0.500, 0.500, 0.000)
Tl (0.250, 0.250, 0.250)
Tl (0.250, 0.250, 0.750)
Tl (0.250, 0.750, 0.250)
Tl (0.250, 0.750, 0.750)
Tl (0.750, 0.250, 0.250)
Tl (0.750, 0.250, 0.750)
Tl (0.750, 0.750, 0.250)
Tl (0.750, 0.750, 0.750)
Cd (0.000, 0.000, 0.500)
Cd (0.000, 0.500, 0.000)
Cd (0.500, 0.000, 0.000)
Cd (0.500, 0.500, 0.500)